# Sc4ZnOs

Sc4ZnOs at its PBEsol-relaxed geometry (SCAN, Alexandria via LeMat-Bulk).

a = 7.6040 Å, b = 7.6040 Å, c = 7.6040 Å
α = 90.00°, β = 90.00°, γ = 90.00°
With the nearest neighbours (Å) after each atom.
Space group F-43m (No. 216)
One atom of each set of equivalent atoms:
Sc  0.1227  0.1227  0.1227 [16 per cell]  6 Sc 2.64-2.74
Zn  0.0000  0.0000  0.5000 [4 per cell]  12 Sc 3.16, 4 Os 3.29
Os  0.2500  0.2500  0.7500 [4 per cell]  12 Sc 3.15, 4 Zn 3.29

Computed properties:
ΔH_f (0 K) in eV/atom: 0.4772

***

# Sc2ZnOs

Sc2ZnOs at its PBEsol-relaxed geometry (SCAN, Alexandria via LeMat-Bulk).

a = 6.4473 Å, b = 6.4473 Å, c = 6.4473 Å
α = 90.00°, β = 90.00°, γ = 90.00°
With the nearest neighbours (Å) after each atom.
Space group Fm-3m (No. 225)
One atom of each set of equivalent atoms:
Sc  0.2500  0.2500  0.2500 [8 per cell]  4 Os 2.79, 4 Zn 2.79
Zn  0.0000  0.0000  0.0000 [4 per cell]  8 Sc 2.79
Os  0.0000  0.0000  0.5000 [4 per cell]  8 Sc 2.79

Computed properties:
ΔE to the lowest computed polymorph in meV per atom: 21
ΔH_f (0 K) in eV/atom: -0.5798

***

# ZrScOs2

ZrScOs2 at its PBEsol-relaxed geometry (SCAN, Alexandria via LeMat-Bulk).

a = 3.2055 Å, b = 4.7744 Å, c = 8.6105 Å
α = 90.00°, β = 90.00°, γ = 90.00°
With the nearest neighbours (Å) after each atom.
Space group Immm (No. 71)
One atom of each set of equivalent atoms:
Zr  0.0000  0.0000  0.0000 [2 per cell]  4 Os 2.67, 4 Sc 2.88
Sc  0.0000  0.0000  0.5000 [2 per cell]  4 Os 2.70, 4 Zr 2.88
Os  0.0000  0.5000  0.2518 [4 per cell]  2 Zr 2.67, 2 Sc 2.70, 4 Os 2.88

Computed properties:
ΔE to the lowest computed polymorph in meV per atom: 470
ΔH_f (0 K) in eV/atom: -0.2106

***

# ZrSc2Os

ZrSc2Os at its PBEsol-relaxed geometry (SCAN, Alexandria via LeMat-Bulk).

a = 3.3126 Å, b = 4.8100 Å, c = 9.8305 Å
α = 90.00°, β = 90.00°, γ = 90.00°
With the nearest neighbours (Å) after each atom.
Space group Imm2 (No. 44)
One atom of each set of equivalent atoms:
Zr  0.0000  0.0000  0.0000 [2 per cell]  2 Os 2.63
Sc  0.0000  0.0000  0.4218 [2 per cell]  2 Os 2.68
Sc  0.0000  0.5000  0.2120 [2 per cell]  4 Os 2.92, 2 Sc 3.17, 2 Zr 3.18
Os  0.0000  0.5000  0.7078 [2 per cell]  2 Zr 2.63, 6 Sc 2.68-2.92

Computed properties:
ΔE to the lowest computed polymorph in meV per atom: 12
ΔH_f (0 K) in eV/atom: -0.3906

***

# ZrScOs2

ZrScOs2 at its PBEsol-relaxed geometry (SCAN, Alexandria via LeMat-Bulk).

a = 6.3783 Å, b = 6.3783 Å, c = 6.3783 Å
α = 90.00°, β = 90.00°, γ = 90.00°
With the nearest neighbours (Å) after each atom.
Space group F-43m (No. 216)
One atom of each set of equivalent atoms:
Zr  0.0000  0.0000  0.0000 [4 per cell]  4 Sc 2.76, 4 Os 2.76
Sc  0.2500  0.2500  0.2500 [4 per cell]  4 Zr 2.76, 4 Os 2.76
Os  0.0000  0.0000  0.5000 [4 per cell]  4 Os 2.76, 4 Sc 2.76
Os  0.2500  0.2500  0.7500 [4 per cell]  4 Zr 2.76, 4 Os 2.76

Computed properties:
ΔE to the lowest computed polymorph in meV per atom: 488
ΔH_f (0 K) in eV/atom: -0.1932

***

# ZrScOs2

ZrScOs2 at its PBEsol-relaxed geometry (SCAN, Alexandria via LeMat-Bulk).

a = 4.5372 Å, b = 4.5372 Å, c = 3.2138 Å
α = 90.00°, β = 90.00°, γ = 90.00°
With the nearest neighbours (Å) after each atom.
Space group P4/mmm (No. 123)
One atom of each set of equivalent atoms:
Zr  0.0000  0.0000  0.0000 [1 per cell]  8 Os 2.78
Sc  0.5000  0.5000  0.0000 [1 per cell]  8 Os 2.78
Os  0.0000  0.5000  0.5000 [2 per cell]  4 Zr 2.78, 4 Sc 2.78

Computed properties:
ΔE to the lowest computed polymorph in meV per atom: 6
ΔH_f (0 K) in eV/atom: -0.6746

***

# ZrSc2Os

ZrSc2Os at its PBEsol-relaxed geometry (SCAN, Alexandria via LeMat-Bulk).

a = 3.2764 Å, b = 4.7145 Å, c = 10.0030 Å
α = 90.00°, β = 90.00°, γ = 90.00°
With the nearest neighbours (Å) after each atom.
Space group Immm (No. 71)
One atom of each set of equivalent atoms:
Zr  0.0000  0.0000  0.0000 [2 per cell]  4 Os 2.87, 4 Sc 3.18
Sc  0.0000  0.5000  0.2132 [4 per cell]  2 Os 2.69, 4 Sc 2.96
Os  0.0000  0.0000  0.5000 [2 per cell]  4 Sc 2.69, 4 Zr 2.87

Computed properties:
ΔE to the lowest computed polymorph in meV per atom: 0
ΔH_f (0 K) in eV/atom: -0.4029

***

# ZrScOs2

ZrScOs2 at its PBEsol-relaxed geometry (SCAN, Alexandria via LeMat-Bulk).

a = 3.2089 Å, b = 4.4530 Å, c = 9.3298 Å
α = 90.00°, β = 90.00°, γ = 90.00°
With the nearest neighbours (Å) after each atom.
Space group Imm2 (No. 44)
One atom of each set of equivalent atoms:
Zr  0.0000  0.0000  0.0000 [2 per cell]  6 Os 2.75-2.81, 2 Sc 2.95
Sc  0.0000  0.5000  0.7649 [2 per cell]  6 Os 2.75-2.83, 2 Zr 2.95
Os  0.0000  0.0000  0.5146 [2 per cell]  2 Os 2.74, 4 Zr 2.75, 2 Sc 2.83
Os  0.0000  0.5000  0.2529 [2 per cell]  2 Os 2.74, 4 Sc 2.75, 2 Zr 2.81

Computed properties:
ΔE to the lowest computed polymorph in meV per atom: 277
ΔH_f (0 K) in eV/atom: -0.4044

***

# ZrScOs2

ZrScOs2 at its PBEsol-relaxed geometry (SCAN, Alexandria via LeMat-Bulk).

a = 6.4166 Å, b = 6.4166 Å, c = 6.4166 Å
α = 90.00°, β = 90.00°, γ = 90.00°
With the nearest neighbours (Å) after each atom.
Space group Fm-3m (No. 225)
One atom of each set of equivalent atoms:
Zr  0.0000  0.0000  0.0000 [4 per cell]  8 Os 2.78
Sc  0.0000  0.0000  0.5000 [4 per cell]  8 Os 2.78
Os  0.2500  0.2500  0.2500 [8 per cell]  4 Sc 2.78, 4 Zr 2.78

Computed properties:
ΔE to the lowest computed polymorph in meV per atom: 0
ΔH_f (0 K) in eV/atom: -0.6810

***

# ZrScOs2

ZrScOs2 at its PBEsol-relaxed geometry (SCAN, Alexandria via LeMat-Bulk).

a = 2.8652 Å, b = 2.8652 Å, c = 28.8664 Å
α = 90.00°, β = 90.00°, γ = 120.00°
With the nearest neighbours (Å) after each atom.
Space group R3m (No. 160, hexagonal axes)
One atom of each set of equivalent atoms:
Zr  0.0000  0.0000  0.0000 [3 per cell]  6 Zr 2.87, 3 Os 2.97
Sc  0.0000  0.0000  0.2361 [3 per cell]  3 Os 2.84, 6 Sc 2.87
Os  0.0000  0.0000  0.4896 [3 per cell]  9 Os 2.63-2.87, 3 Sc 2.84
Os  0.0000  0.0000  0.7521 [3 per cell]  9 Os 2.63-2.87

Computed properties:
ΔE to the lowest computed polymorph in meV per atom: 946
ΔH_f (0 K) in eV/atom: 0.2646

***

# Os2Se

Os2Se at its PBEsol-relaxed geometry (SCAN, Alexandria via LeMat-Bulk).

a = 2.8494 Å, b = 2.8494 Å, c = 6.2652 Å
α = 90.00°, β = 90.00°, γ = 120.00°
With the nearest neighbours (Å) after each atom.
Space group P-3m1 (No. 164)
One atom of each set of equivalent atoms:
Os  0.3333  0.6667  0.3368 [2 per cell]  9 Os 2.62-2.85, 3 Se 2.68
Se  0.0000  0.0000  0.0000 [1 per cell]  6 Os 2.68, 6 Se 2.85

Computed properties:
ΔE to the lowest computed polymorph in meV per atom: 0

***

# Os2Se

Os2Se at its PBEsol-relaxed geometry (SCAN, Alexandria via LeMat-Bulk).

a = 3.9844 Å, b = 3.9844 Å, c = 3.0233 Å
α = 90.00°, β = 90.00°, γ = 90.00°
With the nearest neighbours (Å) after each atom.
Space group P4/mmm (No. 123)
One atom of each set of equivalent atoms:
Os  0.0000  0.5000  0.0000 [2 per cell]  4 Se 2.50
Se  0.0000  0.0000  0.5000 [1 per cell]  8 Os 2.50

Computed properties:
ΔE to the lowest computed polymorph in meV per atom: 730

***

Per-record raw total energy, eV per atom: -23.247, -29.047, -47.385, -33.154, -47.367, -47.849, -33.166, -47.578, -47.855, -46.909, -53.997, -53.266
Per-record volume, A^3/atom: 18.32, 16.75, 16.47, 19.58, 16.22, 16.54, 19.31, 16.66, 16.51, 17.10, 14.68, 16.00